[1]
MnBiNF2 | PBE+U | optimized geometry

Cell lengths 4.5173, 4.6472, 4.5173 Å; angles 90.00, 90.00, 90.00 degrees
Last column: magnetic moment on the atom in μB.
Positions (direct):
F1 0.5000 0.0000 0.0000  0.02
Bi1 0.0000 0.0000 0.0000  0.00
F2 0.0000 0.0000 0.5000  0.02
N1 0.0000 0.5000 0.0000  -0.04
Mn1 0.5000 0.5000 0.5000  4.87

Output
M_tot, μB/cell: 5.37
Raw total energy, eV per atom: -5.127
Calculated density, g/cm³: 5.53
N(E_F), states/eV/cell: 1.24
Crystal system: tetragonal
Symmetry: P4/mmm, No. 123

***

[2]
Na2MnBiF6 | PBE+U | optimized geometry

Cell lengths 5.9969, 6.0141, 5.9864 Å; angles 89.98, 120.11, 120.12 degrees
Last column: magnetic moment on the atom in μB.
Positions (direct):
F1 0.8251 0.5903 0.6713  0.05
F2 0.5213 0.1089 0.1725  0.03
Mn1 0.0020 0.5002 0.4881  4.69
F3 0.0766 0.4122 0.1717  0.03
F4 0.7754 0.6639 0.1721  0.03
Na1 0.6046 0.8015 0.3916  0.00
F5 0.0960 0.2350 0.6741  0.05
F6 0.4553 0.8611 0.6757  0.05
Na2 0.5510 0.2751 0.8118  0.01
Bi1 0.0583 0.0296 0.0737  0.57

Output
M_tot, μB/cell: 6.00
Raw total energy, eV per atom: -4.924
Calculated density, g/cm³: 4.63
N(E_F), states/eV/cell: 0.08
Crystal system: triclinic
Symmetry: P1, No. 1

***

[3]
MnBiOF2 | PBE+U | optimized geometry

Cell lengths 4.1677, 4.1677, 4.2022 Å; angles 90.00, 90.00, 90.00 degrees
Last column: magnetic moment on the atom in μB.
Positions (direct):
Mn1 0.0000 0.0000 0.0000  4.58
F1 0.0000 0.5000 0.0000  0.04
O1 0.0000 0.0000 0.5000  -0.01
F2 0.5000 0.0000 0.0000  0.04
Bi1 0.5000 0.5000 0.5000  -0.13

Output
M_tot, μB/cell: 4.62
Raw total energy, eV per atom: -5.551
Calculated density, g/cm³: 7.23
N(E_F), states/eV/cell: 2.55
Crystal system: tetragonal
Symmetry: P4/mmm, No. 123

***

[4]
MnBi2O4F | PBE+U | optimized geometry

Cell lengths 3.4015, 5.3968, 6.8300 Å; angles 67.98, 75.58, 71.63 degrees
Last column: magnetic moment on the atom in μB.
Positions (direct):
Mn1 0.0000 0.0000 0.0000  3.99
O1 0.6197 0.7086 0.0520  -0.02
Bi1 0.1941 0.3329 0.2788  0.03
O2 0.8419 0.0283 0.2879  -0.06
F1 0.5000 0.5000 0.5000  0.00
O3 0.1581 0.9717 0.7121  -0.06
Bi2 0.8059 0.6671 0.7212  0.03
O4 0.3803 0.2914 0.9480  -0.02

Output
M_tot, μB/cell: 4.00
Raw total energy, eV per atom: -6.102
Calculated density, g/cm³: 8.46
N(E_F), states/eV/cell: 0.59
Crystal system: monoclinic
Symmetry: C2/m, No. 12

***

[5]
MnBiOF2 | PBE+U | optimized geometry

Cell lengths 4.6497, 4.6497, 4.5226 Å; angles 90.00, 90.00, 90.00 degrees
Last column: magnetic moment on the atom in μB.
Positions (direct):
F1 0.5000 0.0000 0.0000  0.03
F2 0.0000 0.5000 0.0000  0.03
Mn1 0.5000 0.5000 0.5000  5.02
O1 0.0000 0.0000 0.5000  0.14
Bi1 0.0000 0.0000 0.0000  -0.01

Output
M_tot, μB/cell: 6.00
Raw total energy, eV per atom: -5.212
Calculated density, g/cm³: 5.40
N(E_F), states/eV/cell: 0.11
Crystal system: tetragonal
Symmetry: P4/mmm, No. 123

***

[6]
RbMnBiF6 | PBE+U | optimized geometry

Cell lengths 6.0461, 6.0462, 5.8477 Å; angles 90.01, 89.99, 59.96 degrees
Last column: magnetic moment on the atom in μB.
Positions (direct):
F1 0.3854 0.9865 0.7010  0.02
F2 0.6284 0.9834 0.3004  0.02
F3 0.9867 0.3856 0.2989  0.02
Mn1 0.6662 0.6663 0.4999  4.69
Bi1 0.3332 0.3333 0.5002  0.01
Rb1 0.9998 0.9998 0.0001  0.00
F4 0.3885 0.6279 0.2990  0.02
F5 0.6284 0.3884 0.7008  0.02
F6 0.9831 0.6289 0.6995  0.02

Output
M_tot, μB/cell: 5.00
Raw total energy, eV per atom: -5.233
Calculated density, g/cm³: 4.16
N(E_F), states/eV/cell: 0.00
Crystal system: monoclinic
Symmetry: C2, No. 5

***

[7]
Mn2BiSF | PBE+U | optimized geometry

Cell lengths 4.6152, 5.6296, 4.6152 Å; angles 90.00, 90.00, 90.00 degrees
Last column: magnetic moment on the atom in μB.
Positions (direct):
F1 0.5000 0.5000 0.5000  -0.15
Mn1 0.0000 0.0000 0.5000  4.30
Mn2 0.5000 0.0000 0.0000  4.26
S1 0.0000 0.0000 0.0000  -0.05
Bi1 0.0000 0.5000 0.0000  -0.48

Output
M_tot, μB/cell: 7.74
Raw total energy, eV per atom: -4.831
Calculated density, g/cm³: 5.12
N(E_F), states/eV/cell: 4.30
Crystal system: tetragonal
Symmetry: P4/mmm, No. 123

***

[8]
MnBiSeF2 | PBE+U | optimized geometry

Cell lengths 4.5101, 6.0400, 4.5101 Å; angles 90.00, 90.00, 90.00 degrees
Last column: magnetic moment on the atom in μB.
Positions (direct):
Se1 0.0000 0.5000 0.0000  0.06
Mn1 0.5000 0.5000 0.5000  4.88
F1 0.0000 0.0000 0.5000  0.01
F2 0.5000 0.0000 0.0000  0.01
Bi1 0.0000 0.0000 0.0000  -0.01

Output
M_tot, μB/cell: 5.58
Raw total energy, eV per atom: -4.806
Calculated density, g/cm³: 5.15
N(E_F), states/eV/cell: 1.55
Crystal system: tetragonal
Symmetry: P4/mmm, No. 123

***

Look up the raw total energy of the sixth one.
-5.233 eV per atom

***

What is the N(E_F) in the sixth record?
0.00 states/eV/cell